# 1
Compound: Ti4Zn7Rh
Source: Alexandria
Functional: PBE-GGA
Structure: optimized geometry

Results
Final energy (eV per atom): -4.13

```
data_Ti4Zn7Rh
_symmetry_space_group_name_H-M 'P -1'
_symmetry_Int_Tables_number 2
_cell_length_a 5.010
_cell_length_b 5.190
_cell_length_c 7.665
_cell_angle_alpha 71.66
_cell_angle_beta 78.45
_cell_angle_gamma 89.73
loop_
_symmetry_equiv_pos_as_xyz
'x,y,z'
'-x,-y,-z'
loop_
_atom_site_label
_atom_site_type_symbol
_atom_site_fract_x
_atom_site_fract_y
_atom_site_fract_z
Ti1 Ti 0.216 0.098 0.307
Ti2 Ti 0.219 0.596 0.310
Zn1 Zn 0.000 0.500 0.000
Zn2 Zn 0.272 0.012 0.956
Zn3 Zn 0.290 0.672 0.662
Zn4 Zn 0.298 0.193 0.616
Rh1 Rh 0.500 0.500 0.000
```

# 2
Compound: TiZn2Rh5
Source: Alexandria
Functional: PBE-GGA
Structure: optimized geometry

Results
Final energy (eV per atom): -6.39

```
data_TiZn2Rh5
_symmetry_space_group_name_H-M 'I 4/m m m'
_symmetry_Int_Tables_number 139
_symmetry_space_group_name_Hall '-I 4 2'
_cell_length_a 3.981
_cell_length_b 3.981
_cell_length_c 14.240
_cell_angle_alpha 90.00
_cell_angle_beta 90.00
_cell_angle_gamma 90.00
loop_
_atom_site_label
_atom_site_type_symbol
_atom_site_fract_x
_atom_site_fract_y
_atom_site_fract_z
Ti1 Ti 0.000 0.000 0.000
Zn1 Zn 0.000 0.000 0.250
Rh1 Rh 0.000 0.000 0.500
Rh2 Rh 0.000 0.500 0.127
```

# 3
Compound: TiZn2Rh
Source: Alexandria
Functional: PBE-GGA
Structure: optimized geometry

Results
Final energy (eV per atom): -4.42

```
data_TiZn2Rh
_symmetry_space_group_name_H-M 'I -4 2 d'
_symmetry_Int_Tables_number 122
_symmetry_space_group_name_Hall 'I -4 2bw'
_cell_length_a 7.167
_cell_length_b 7.167
_cell_length_c 5.001
_cell_angle_alpha 90.00
_cell_angle_beta 90.00
_cell_angle_gamma 90.00
loop_
_atom_site_label
_atom_site_type_symbol
_atom_site_fract_x
_atom_site_fract_y
_atom_site_fract_z
Ti1 Ti 0.000 0.000 0.000
Zn1 Zn 0.232 0.250 0.625
Rh1 Rh 0.000 0.000 0.500
```

# 4
Compound: TiZnRh3
Source: Alexandria
Functional: PBE-GGA
Structure: optimized geometry

Results
Final energy (eV per atom): -5.59
ΔE to the lowest computed polymorph (meV per atom): 706

```
data_TiZnRh3
_symmetry_space_group_name_H-M 'P m -3 m'
_symmetry_Int_Tables_number 221
_symmetry_space_group_name_Hall '-P 4 2 3'
_cell_length_a 4.461
_cell_length_b 4.461
_cell_length_c 4.461
_cell_angle_alpha 90.00
_cell_angle_beta 90.00
_cell_angle_gamma 90.00
loop_
_atom_site_label
_atom_site_type_symbol
_atom_site_fract_x
_atom_site_fract_y
_atom_site_fract_z
Ti1 Ti 0.000 0.000 0.000
Zn1 Zn 0.500 0.500 0.500
Rh1 Rh 0.000 0.500 0.500
```

# 5
Compound: Ti7ZnRh4
Source: Alexandria
Functional: PBE-GGA
Structure: optimized geometry

Results
Final energy (eV per atom): -7.40

```
data_Ti7ZnRh4
_symmetry_space_group_name_H-M 'C 1 2/m 1'
_symmetry_Int_Tables_number 12
_cell_length_a 12.037
_cell_length_b 4.787
_cell_length_c 8.860
_cell_angle_alpha 90.00
_cell_angle_beta 126.91
_cell_angle_gamma 90.00
loop_
_symmetry_equiv_pos_as_xyz
'x,y,z'
'-x,-y,-z'
'-x,y,-z'
'x,-y,z'
'x+1/2,y+1/2,z'
'-x+1/2,-y+1/2,-z'
'-x+1/2,y+1/2,-z'
'x+1/2,-y+1/2,z'
loop_
_atom_site_label
_atom_site_type_symbol
_atom_site_fract_x
_atom_site_fract_y
_atom_site_fract_z
Ti1 Ti 0.000 0.000 0.000
Ti2 Ti 0.063 0.500 0.348
Ti3 Ti 0.168 0.000 0.617
Ti4 Ti 0.212 0.500 0.869
Zn1 Zn 0.000 0.500 0.000
Rh1 Rh 0.066 0.000 0.780
Rh2 Rh 0.214 0.000 0.348
```

# 6
Compound: Ti2Zn2Rh
Source: Alexandria
Functional: PBE-GGA
Structure: optimized geometry

Results
Final energy (eV per atom): -5.40
ΔE to the lowest computed polymorph (meV per atom): 82

```
data_Ti2Zn2Rh
_symmetry_space_group_name_H-M 'C 1 2/m 1'
_symmetry_Int_Tables_number 12
_cell_length_a 7.155
_cell_length_b 4.511
_cell_length_c 5.117
_cell_angle_alpha 90.00
_cell_angle_beta 112.00
_cell_angle_gamma 90.00
loop_
_symmetry_equiv_pos_as_xyz
'x,y,z'
'-x,-y,-z'
'-x,y,-z'
'x,-y,z'
'x+1/2,y+1/2,z'
'-x+1/2,-y+1/2,-z'
'-x+1/2,y+1/2,-z'
'x+1/2,-y+1/2,z'
loop_
_atom_site_label
_atom_site_type_symbol
_atom_site_fract_x
_atom_site_fract_y
_atom_site_fract_z
Ti1 Ti 0.106 0.000 0.312
Zn1 Zn 0.189 0.500 0.067
Rh1 Rh 0.000 0.500 0.500
```

no.,calculated formation energy (eV/atom),D(E_F) (states/eV per atom)
1,-0.143,0.68
2,-0.488,0.51
3,0.026,1.04
4,0.651,1.47
5,-0.242,1.07
6,-0.264,1.08